Here is an optimized crystal structure of LaCeTmZn from Alexandria. Energies are from GGA-PBE.

Cell: 5.419 5.419 5.419 Å, 60.00 60.00 60.00°
Atoms (fractional coordinates):
La  0.000  0.000  0.000
Ce  0.500  0.500  0.500
Tm  0.250  0.250  0.250
Zn  0.750  0.750  0.750

Values from the calculation:
E_form: 63 meV per atom
density: 7.6 g cm⁻³
crystal system: cubic
DFT total energy: -4.09 eV/atom